No. 1
# Th2Si4TcOs3

A relaxed Th2Si4TcOs3 crystal (GGA-PBE, Alexandria via LeMat-Bulk).

Cell and atoms, written as POSCAR:
```
Th2Si4TcOs3
1.0
4.259 0.000 0.000
0.000 4.259 0.000
0.000 0.000 9.751
Th Si Tc Os
2 4 1 3
Direct
0.000 0.500 0.247
0.500 0.000 0.753
0.000 0.000 0.500
0.000 0.500 0.878
0.500 0.000 0.122
0.500 0.500 0.500
0.500 0.500 0.000
0.000 0.000 0.000
0.000 0.500 0.627
0.500 0.000 0.373
```

Calculated values
N(E_F) in states/eV per atom: 0.89

***

No. 2
# TiSiTcOs

A relaxed TiSiTcOs crystal (GGA-PBE, Alexandria via LeMat-Bulk).

Cell and atoms, written as POSCAR:
```
TiSiTcOs
1.0
6.051 0.000 0.000
0.000 6.051 0.000
0.000 0.000 6.051
Ti Si Tc Os
4 4 4 4
Direct
0.000 0.000 0.000
0.000 0.500 0.500
0.500 0.000 0.500
0.500 0.500 0.000
0.000 0.000 0.500
0.000 0.500 0.000
0.500 0.000 0.000
0.500 0.500 0.500
0.250 0.250 0.750
0.250 0.750 0.250
0.750 0.250 0.250
0.750 0.750 0.750
0.250 0.250 0.250
0.250 0.750 0.750
0.750 0.250 0.750
0.750 0.750 0.250
```

Calculated values
N(E_F) in states/eV per atom: 0.51

***

No. 3
# TmSi3TcOs

A relaxed TmSi3TcOs crystal (GGA-PBE, Alexandria via LeMat-Bulk).

Cell and atoms, written as POSCAR:
```
TmSi3TcOs
1.0
3.885 -5.515 0.000
3.885 5.515 0.000
0.000 0.000 5.411
Tm Si Tc Os
2 6 2 2
Direct
0.229 0.771 0.750
0.771 0.229 0.250
0.249 0.751 0.250
0.251 0.251 0.000
0.251 0.251 0.500
0.749 0.749 0.000
0.749 0.749 0.500
0.751 0.249 0.750
0.449 0.551 0.250
0.551 0.449 0.750
0.047 0.953 0.250
0.953 0.047 0.750
```

Calculated values
N(E_F) in states/eV per atom: 0.29

***

No. 4
# TmSi2TcOs

A relaxed TmSi2TcOs crystal (GGA-PBE, Alexandria via LeMat-Bulk).

Cell and atoms, written as POSCAR:
```
TmSi2TcOs
1.0
4.158 0.000 0.000
0.000 4.158 0.000
0.000 0.000 9.708
Tm Si Tc Os
2 4 2 2
Direct
0.000 0.000 0.000
0.500 0.500 0.500
0.000 0.000 0.375
0.000 0.000 0.625
0.500 0.500 0.125
0.500 0.500 0.875
0.000 0.500 0.250
0.500 0.000 0.750
0.000 0.500 0.750
0.500 0.000 0.250
```

Calculated values
N(E_F) in states/eV per atom: 0.91

***

No. 5
# USiTcOs

A relaxed USiTcOs crystal (GGA-PBE, Alexandria via LeMat-Bulk).

Cell and atoms, written as POSCAR:
```
USiTcOs
1.0
4.451 0.000 0.000
0.000 3.287 0.000
0.000 0.000 9.262
U Si Tc Os
2 2 2 2
Direct
0.000 0.000 0.000
0.000 0.500 0.500
0.500 0.000 0.600
0.500 0.500 0.100
0.500 0.000 0.315
0.500 0.500 0.815
0.000 0.000 0.729
0.000 0.500 0.229
```

Calculated values
N(E_F) in states/eV per atom: 1.19

***

No. 6
# USiTcOs

A relaxed USiTcOs crystal (GGA-PBE, Alexandria via LeMat-Bulk).

Cell and atoms, written as POSCAR:
```
USiTcOs
1.0
6.438 0.000 0.000
0.000 6.438 0.000
0.000 0.000 6.438
U Si Tc Os
4 4 4 4
Direct
0.000 0.000 0.000
0.000 0.500 0.500
0.500 0.000 0.500
0.500 0.500 0.000
0.000 0.000 0.500
0.000 0.500 0.000
0.500 0.000 0.000
0.500 0.500 0.500
0.250 0.250 0.750
0.250 0.750 0.250
0.750 0.250 0.250
0.750 0.750 0.750
0.250 0.250 0.250
0.250 0.750 0.750
0.750 0.250 0.750
0.750 0.750 0.250
```

Calculated values
N(E_F) in states/eV per atom: 1.39

***

No. 7
# YSi3TcOs

A relaxed YSi3TcOs crystal (GGA-PBE, Alexandria via LeMat-Bulk).

Cell and atoms, written as POSCAR:
```
YSi3TcOs
1.0
3.868 -5.503 0.000
3.868 5.503 0.000
0.000 0.000 5.469
Y Si Tc Os
2 6 2 2
Direct
0.240 0.760 0.750
0.760 0.240 0.250
0.248 0.752 0.250
0.251 0.251 0.000
0.251 0.251 0.500
0.749 0.749 0.000
0.749 0.749 0.500
0.752 0.248 0.750
0.449 0.551 0.250
0.551 0.449 0.750
0.046 0.954 0.250
0.954 0.046 0.750
```

Calculated values
N(E_F) in states/eV per atom: 0.32

***

No. 8
# SiTeOs

A relaxed SiTeOs crystal (GGA-PBE, Alexandria via LeMat-Bulk).

Cell and atoms, written as POSCAR:
```
SiTeOs
1.0
3.079 0.000 0.000
0.000 3.079 0.000
0.000 0.000 12.906
Si Te Os
2 2 2
Direct
0.000 0.000 0.000
0.500 0.500 0.500
0.000 0.000 0.214
0.500 0.500 0.714
0.000 0.000 0.423
0.500 0.500 0.923
```

Calculated values
N(E_F) in states/eV per atom: 0.65

***

No. 9
# SiTe2Os

A relaxed SiTe2Os crystal (GGA-PBE, Alexandria via LeMat-Bulk).

Cell and atoms, written as POSCAR:
```
SiTe2Os
1.0
3.304 0.000 0.000
0.000 3.304 0.000
0.000 0.000 7.417
Si Te Os
1 2 1
Direct
0.000 0.000 0.000
0.500 0.500 0.273
0.500 0.500 0.727
0.000 0.000 0.500
```

Calculated values
N(E_F) in states/eV per atom: 0.99

***

No. 10
# Si2TeOs

A relaxed Si2TeOs crystal (GGA-PBE, Alexandria via LeMat-Bulk).

Cell and atoms, written as POSCAR:
```
Si2TeOs
1.0
4.217 0.000 0.000
0.000 4.217 0.000
0.000 0.000 7.425
Si Te Os
4 2 2
Direct
0.000 0.500 0.250
0.000 0.500 0.750
0.500 0.000 0.250
0.500 0.000 0.750
0.000 0.000 0.000
0.500 0.500 0.500
0.000 0.000 0.500
0.500 0.500 0.000
```

Calculated values
N(E_F) in states/eV per atom: 0.46

***

No. 11
# SiTeOs2

A relaxed SiTeOs2 crystal (GGA-PBE, Alexandria via LeMat-Bulk).

Cell and atoms, written as POSCAR:
```
SiTeOs2
1.0
3.021 0.000 0.000
0.000 3.846 0.000
0.000 0.000 5.691
Si Te Os
1 1 2
Direct
0.000 0.000 0.000
0.500 0.500 0.384
0.000 0.000 0.578
0.500 0.500 0.907
```

Calculated values
N(E_F) in states/eV per atom: 0.57

***

No. 12
# SiTeOs2

A relaxed SiTeOs2 crystal (GGA-PBE, Alexandria via LeMat-Bulk).

Cell and atoms, written as POSCAR:
```
SiTeOs2
1.0
3.065 0.000 0.000
0.000 3.771 0.000
-1.502 0.000 5.844
Si Te Os
1 1 2
Direct
0.000 0.000 0.000
0.000 0.000 0.500
0.364 0.500 0.201
0.636 0.500 0.799
```

Calculated values
N(E_F) in states/eV per atom: 0.87

***

No. 13
# SiTe2Os

A relaxed SiTe2Os crystal (GGA-PBE, Alexandria via LeMat-Bulk).

Cell and atoms, written as POSCAR:
```
SiTe2Os
1.0
3.219 0.000 0.000
0.000 5.318 0.000
0.000 0.000 9.851
Si Te Os
2 4 2
Direct
0.000 0.000 0.000
0.500 0.500 0.000
0.000 0.500 0.276
0.000 0.500 0.724
0.500 0.000 0.276
0.500 0.000 0.724
0.000 0.000 0.500
0.500 0.500 0.500
```

Calculated values
N(E_F) in states/eV per atom: 0.81

***

No. 14
# Si2TeOs

A relaxed Si2TeOs crystal (GGA-PBE, Alexandria via LeMat-Bulk).

Cell and atoms, written as POSCAR:
```
Si2TeOs
1.0
4.679 0.000 0.000
0.000 4.679 0.000
0.000 0.000 6.149
Si Te Os
4 2 2
Direct
0.000 0.000 0.000
0.000 0.500 0.250
0.500 0.000 0.750
0.500 0.500 0.500
0.000 0.500 0.750
0.500 0.000 0.250
0.000 0.000 0.500
0.500 0.500 0.000
```

Calculated values
N(E_F) in states/eV per atom: 0.53

***

No. 15
# SiTeOs2

A relaxed SiTeOs2 crystal (GGA-PBE, Alexandria via LeMat-Bulk).

Cell and atoms, written as POSCAR:
```
SiTeOs2
1.0
2.993 0.000 0.000
-1.497 2.592 0.000
0.000 0.000 24.699
Si Te Os
3 3 6
Direct
0.000 0.000 0.000
0.333 0.667 0.667
0.667 0.333 0.333
0.000 0.000 0.500
0.333 0.667 0.167
0.667 0.333 0.833
0.000 0.000 0.259
0.000 0.000 0.741
0.333 0.667 0.407
0.333 0.667 0.926
0.667 0.333 0.074
0.667 0.333 0.593
```

Calculated values
N(E_F) in states/eV per atom: 0.55

***

No. 16
# SiTe2Os

A relaxed SiTe2Os crystal (GGA-PBE, Alexandria via LeMat-Bulk).

Cell and atoms, written as POSCAR:
```
SiTe2Os
1.0
6.180 0.000 0.000
0.000 6.180 0.000
0.000 0.000 11.773
Si Te Os
4 8 4
Direct
0.000 0.000 0.000
0.000 0.500 0.250
0.500 0.000 0.750
0.500 0.500 0.500
0.225 0.250 0.625
0.250 0.725 0.875
0.250 0.775 0.375
0.275 0.250 0.125
0.725 0.750 0.125
0.750 0.225 0.375
0.750 0.275 0.875
0.775 0.750 0.625
0.000 0.000 0.500
0.000 0.500 0.750
0.500 0.000 0.250
0.500 0.500 0.000
```

Calculated values
N(E_F) in states/eV per atom: 0.49

***

No. 17
# SiTe2Os

A relaxed SiTe2Os crystal (GGA-PBE, Alexandria via LeMat-Bulk).

Cell and atoms, written as POSCAR:
```
SiTe2Os
1.0
3.114 0.000 0.000
0.000 3.578 0.000
0.000 0.000 8.063
Si Te Os
1 2 1
Direct
0.000 0.000 0.000
0.000 0.000 0.652
0.500 0.500 0.238
0.500 0.500 0.904
```

Calculated values
N(E_F) in states/eV per atom: 0.40

***

No. 18
# SiTeOs2

A relaxed SiTeOs2 crystal (GGA-PBE, Alexandria via LeMat-Bulk).

Cell and atoms, written as POSCAR:
```
SiTeOs2
1.0
8.124 0.000 0.000
0.000 3.006 0.000
-1.196 0.000 5.295
Si Te Os
2 2 4
Direct
0.000 0.000 0.000
0.500 0.500 0.000
0.000 0.500 0.500
0.500 0.000 0.500
0.238 0.500 0.210
0.262 0.000 0.790
0.738 0.000 0.210
0.762 0.500 0.790
```

Calculated values
N(E_F) in states/eV per atom: 0.66

***

No. 19
# SiTe2Os

A relaxed SiTe2Os crystal (GGA-PBE, Alexandria via LeMat-Bulk).

Cell and atoms, written as POSCAR:
```
SiTe2Os
1.0
4.967 0.000 0.000
0.000 4.967 0.000
0.000 0.000 3.195
Si Te Os
1 2 1
Direct
0.000 0.000 0.000
0.000 0.500 0.500
0.500 0.000 0.500
0.500 0.500 0.000
```

Calculated values
N(E_F) in states/eV per atom: 0.70

***

No. 20
# SiTeOs2

A relaxed SiTeOs2 crystal (GGA-PBE, Alexandria via LeMat-Bulk).

Cell and atoms, written as POSCAR:
```
SiTeOs2
1.0
2.913 0.000 0.000
-1.457 2.523 0.000
0.000 0.000 29.415
Si Te Os
3 3 6
Direct
0.000 0.000 0.000
0.333 0.667 0.667
0.667 0.333 0.333
0.000 0.000 0.782
0.333 0.667 0.449
0.667 0.333 0.116
0.000 0.000 0.266
0.000 0.000 0.529
0.333 0.667 0.196
0.333 0.667 0.933
0.667 0.333 0.600
0.667 0.333 0.863
```

Calculated values
N(E_F) in states/eV per atom: 0.39

***

no.,total energy (Ha/atom)
1,-0.3200
2,-0.3432
3,-0.2693
4,-0.2957
5,-0.3569
6,-0.3552
7,-0.2832
8,-0.2364
9,-0.1825
10,-0.2056
11,-0.2703
12,-0.2639
13,-0.1773
14,-0.2064
15,-0.2700
16,-0.1867
17,-0.1988
18,-0.2706
19,-0.1809
20,-0.2645